Entry 1:
Here is crystalline ZnTe2Os at its relaxed geometry from Alexandria. Energies are from PBE.

Structure (extended XYZ):
```
4
Lattice="-1.6088 2.1660 6.5538 1.6088 -2.1660 6.5538 1.6088 2.1660 -6.5538" Properties=species:S:1:pos:R:3 pbc="T T T"
Zn 0.0000 0.0000 0.0000
Te 1.6088 0.0000 4.3737
Te 0.0000 2.1660 2.1801
Os 0.0000 0.0000 6.5538
```

* energy relative to the elements, uncorrected: 24 kJ/mol of atoms
* size of the total moment: 0.000 μB/atom
* SG: Immm (71)

---

Entry 2:
Here is crystalline Sm5CdGa4 at its relaxed geometry from Alexandria. Energies are from PBE.

Structure (extended XYZ):
```
10
Lattice="3.6600 0.0000 0.0000 0.0000 3.6600 0.0000 0.0000 0.0000 18.6387" Properties=species:S:1:pos:R:3 pbc="T T T"
Sm 0.0000 0.0000 0.0000
Sm 0.0000 0.0000 3.6262
Sm 0.0000 0.0000 7.2575
Sm 0.0000 0.0000 11.3812
Sm 0.0000 0.0000 15.0125
Cd 1.8300 1.8300 9.3194
Ga 1.8300 1.8300 1.8106
Ga 1.8300 1.8300 5.4889
Ga 1.8300 1.8300 13.1499
Ga 1.8300 1.8300 16.8282
```

* size of the total moment: 0.000 μB/atom
* SG: P4/mmm (123)
* calculated formation energy: -0.52 eV/atom

---

Entry 3:
Here is crystalline Sm3AlI3 at its relaxed geometry from Alexandria. Energies are from PBE.

Structure (extended XYZ):
```
28
Lattice="-6.2387 6.2387 6.2387 6.2387 -6.2387 6.2387 6.2387 6.2387 -6.2387" Properties=species:S:1:pos:R:3 pbc="T T T"
Sm 1.7156 1.5597 -1.4038
Sm 7.6424 1.7156 -1.5597
Sm 1.5597 -1.4038 1.7156
Sm 4.8349 4.5231 -1.5597
Sm 4.5231 1.5597 1.4038
Sm -1.4038 1.7156 1.5597
Sm 4.5231 -1.5597 4.8349
Sm 1.5597 1.4038 4.5231
Sm 1.4038 4.5231 1.5597
Sm 1.7156 -1.5597 7.6424
Sm -1.5597 7.6424 1.7156
Sm -1.5597 4.8349 4.5231
Al 4.6790 1.5597 -1.5597
Al 1.5597 1.5597 1.5597
Al 1.5597 -1.5597 4.6790
Al -1.5597 4.6790 1.5597
I 7.7983 1.4678 1.6515
I 7.7983 -1.4678 4.5872
I 4.5872 7.7983 -1.4678
I 4.7708 1.6515 4.6790
I 4.6790 4.7708 1.6515
I 1.6515 7.7983 1.4678
I 7.7065 4.5872 4.6790
I 1.6515 4.6790 4.7708
I 1.4678 1.6515 7.7983
I 4.6790 7.7065 4.5872
I -1.4678 4.5872 7.7983
I 4.5872 4.6790 7.7065
```

* energy relative to the elements, uncorrected: -91 kJ/mol of atoms
* size of the total moment: 0.000 μB/atom
* SG: I4_132 (214)

---

Entry 4:
Here is crystalline TaZnN2O at its relaxed geometry from Alexandria. Energies are from PBE.

Structure (extended XYZ):
```
5
Lattice="3.7902 0.0000 0.0000 0.0000 3.7902 0.0000 0.0000 0.0000 3.6351" Properties=species:S:1:pos:R:3 pbc="T T T"
Ta 0.0000 0.0000 0.0000
Zn 1.8951 1.8951 1.8175
N 0.0000 1.8951 1.8175
N 1.8951 0.0000 1.8175
O 1.8951 1.8951 0.0000
```

* energy relative to the elements, uncorrected: 70 kJ/mol of atoms
* size of the total moment: 0.000 μB/atom
* SG: P4/mmm (123)

---

Copy entry 1 word for word.
Here is crystalline ZnTe2Os at its relaxed geometry from Alexandria. Energies are from PBE.

Structure (extended XYZ):
```
4
Lattice="-1.6088 2.1660 6.5538 1.6088 -2.1660 6.5538 1.6088 2.1660 -6.5538" Properties=species:S:1:pos:R:3 pbc="T T T"
Zn 0.0000 0.0000 0.0000
Te 1.6088 0.0000 4.3737
Te 0.0000 2.1660 2.1801
Os 0.0000 0.0000 6.5538
```

* energy relative to the elements, uncorrected: 24 kJ/mol of atoms
* size of the total moment: 0.000 μB/atom
* SG: Immm (71)

---

- size of the total moment of number 4 (TaZnN2O)?
  0.000 μB/atom

---

Please write out number 2 again, unchanged.
Here is crystalline Sm5CdGa4 at its relaxed geometry from Alexandria. Energies are from PBE.

Structure (extended XYZ):
```
10
Lattice="3.6600 0.0000 0.0000 0.0000 3.6600 0.0000 0.0000 0.0000 18.6387" Properties=species:S:1:pos:R:3 pbc="T T T"
Sm 0.0000 0.0000 0.0000
Sm 0.0000 0.0000 3.6262
Sm 0.0000 0.0000 7.2575
Sm 0.0000 0.0000 11.3812
Sm 0.0000 0.0000 15.0125
Cd 1.8300 1.8300 9.3194
Ga 1.8300 1.8300 1.8106
Ga 1.8300 1.8300 5.4889
Ga 1.8300 1.8300 13.1499
Ga 1.8300 1.8300 16.8282
```

* size of the total moment: 0.000 μB/atom
* SG: P4/mmm (123)
* calculated formation energy: -0.52 eV/atom